(1)
The following is a PBE-GGA calculation of Cs8Au2SeO after structural relaxation, from the Alexandria database.

## Properties
The calculation puts the raw formation energy at -0.594 eV per atom. The calculation puts the total energy at -2.41 eV/atom. The density of states at the Fermi level comes out at 3.2 states/eV/cell. As for the crystal system: monoclinic.

a = 8.2832 Å, b = 10.1531 Å, c = 8.2876 Å
α = 90.00°, β = 90.75°, γ = 90.00°
Last column: nearest neighbours and their distance in Å.
Fractional positions:
Cs: 0.1755 0.2117 0.1777  1 O 2.97
Cs: 0.1755 0.7883 0.1777  1 O 2.97
Cs: 0.2549 0.0000 0.7480  1 O 2.99
Cs: 0.3006 0.5000 0.7075  1 Se 3.50, 2 Au 3.63
Cs: 0.6994 0.5000 0.2925  1 Se 3.50, 2 Au 3.63
Cs: 0.7451 0.0000 0.2520  1 O 2.99
Cs: 0.8245 0.2117 0.8223  1 O 2.97
Cs: 0.8245 0.7883 0.8223  1 O 2.97
Au: 0.5000 0.2324 0.5000  6 Cs 3.63-3.77
Au: 0.5000 0.7676 0.5000  6 Cs 3.63-3.77
Se: 0.0000 0.5000 0.0000  6 Cs 3.50-3.58
O: 0.0000 0.0000 0.0000  6 Cs 2.97-2.99


(2)
The following is a PBE-GGA calculation of ZrSc2Bi after structural relaxation, from the Alexandria database.

## Properties
The calculation puts the total energy at -6.41 eV/atom. The density of states at the Fermi level comes out at 5.2 states/eV/cell. As for the crystal system: trigonal. The energy relative to the elements is -0.55 eV per formula unit.

a = 10.1548 Å, b = 10.1548 Å, c = 10.1548 Å
α = 19.35°, β = 19.35°, γ = 19.35°
Last column: nearest neighbours and their distance in Å.
Fractional positions:
Zr: 0.0000 0.0000 0.0000  6 Sc 3.14-3.16, 6 Zr 3.41
Sc: 0.5849 0.5849 0.5849  3 Zr 3.14, 3 Bi 3.21, 6 Sc 3.41
Sc: 0.7492 0.7492 0.7492  3 Zr 3.16, 3 Bi 3.20, 6 Sc 3.41
Bi: 0.1668 0.1668 0.1668  6 Sc 3.20-3.21, 6 Bi 3.41